Below is a relaxed structure of NaCoBSb, with properties calculated at the PBE level.

Symmetry   No. 216
Excess energy over the best structure of this formula in the dataset   117 meV per atom
Calculated volume   62.12 Å³ per cell
Magnetic moment   0.86 μB/cell
Uncorrected energy   -3.846 eV/atom

a b c (Å): 4.445 4.445 4.445
angles (deg): 60.00 60.00 60.00
Element x y z (fractional)
Na: 0.750 0.750 0.750
B: 0.500 0.500 0.500
Sb: 0.250 0.250 0.250
Co: 0.000 0.000 0.000

Below is a relaxed structure of NdHoNp, with properties calculated at the PBE level.

Symmetry   No. 216
Excess energy over the best structure of this formula in the dataset   0 meV per atom
Calculated volume   108.28 Å³ per cell
Magnetic moment   5.27 μB/cell
ΔH_f (0 K)   3.4 eV per formula unit
Uncorrected energy   -6.223 eV/atom

a b c (Å): 5.350 5.350 5.350
angles (deg): 60.00 60.00 60.00
Each line ends with the local moment (μB).
Element x y z (fractional)
Nd: 0.750 0.750 0.750  0.15
Np: 0.000 0.000 0.000  4.28
Ho: 0.250 0.250 0.250  0.32

Below is a relaxed structure of LuMgCoSb, with properties calculated at the PBE level.

Symmetry   No. 216
Excess energy over the best structure of this formula in the dataset   82 meV per atom
Calculated volume   78.06 Å³ per cell
Magnetic moment   0.89 μB/cell
Uncorrected energy   -4.329 eV/atom

a b c (Å): 4.797 4.797 4.797
angles (deg): 60.00 60.00 60.00
Each line ends with the local moment (μB).
Element x y z (fractional)
Co: 0.750 0.750 0.750  0.90
Sb: 0.000 0.000 0.000  0.02
Mg: 0.500 0.500 0.500  0.00
Lu: 0.250 0.250 0.250  0.03

Below is a relaxed structure of Tb3ZrTe2C2, with properties calculated at the PBE level.

Symmetry   No. 156
Calculated volume   171.29 Å³ per cell
Magnetic moment   0.01 μB/cell
Uncorrected energy   -6.737 eV/atom

a b c (Å): 3.755 3.755 14.029
angles (deg): 90.00 90.00 120.00
Element x y z (fractional)
Tb: 0.667 0.333 0.407
C: 0.333 0.667 0.987
Tb: 0.000 0.000 0.597
C: 0.333 0.667 0.504
Tb: 0.667 0.333 0.088
Zr: 0.000 0.000 0.908
Te: 0.000 0.000 0.246
Te: 0.667 0.333 0.763